1.
Al2SiRu (PBE, optimized geometry); crystal system = orthorhombic; symmetry = Cmmm, No. 65
1.0
4.546 0.000 0.000
0.000 4.588 0.000
0.000 0.000 5.348
Al Si Ru
4 2 2
Cartesian
0.000 0.000 1.340
0.000 0.000 4.008
2.273 2.294 1.340
2.273 2.294 4.008
0.000 2.294 0.000
2.273 0.000 0.000
0.000 2.294 2.674
2.273 0.000 2.674

***

2.
Al2SiRu (PBE, optimized geometry); crystal system = tetragonal; symmetry = I-4m2, No. 119
1.0
3.820 0.000 0.000
0.000 3.820 0.000
0.000 0.000 7.628
Al Si Ru
4 2 2
Cartesian
0.000 0.000 0.000
0.000 1.910 1.907
1.910 0.000 5.721
1.910 1.910 3.814
0.000 0.000 3.814
1.910 1.910 0.000
0.000 1.910 5.721
1.910 0.000 1.907

***

3.
Al2SiRu (PBE, optimized geometry); crystal system = orthorhombic; symmetry = Pmm2, No. 25
1.0
3.004 0.000 0.000
0.000 3.573 0.000
0.000 0.000 5.255
Al Si Ru
2 1 1
Cartesian
0.000 0.000 0.000
1.502 1.787 1.379
1.502 1.787 3.927
0.000 0.000 2.698

***

4.
AlSi4Ru5 (PBE, optimized geometry); crystal system = tetragonal; symmetry = P4/mmm, No. 123
1.0
2.947 0.000 0.000
0.000 2.947 0.000
0.000 0.000 14.747
Al Si Ru
1 4 5
Cartesian
0.000 0.000 0.000
0.000 0.000 2.914
0.000 0.000 5.892
0.000 0.000 8.855
0.000 0.000 11.833
1.473 1.473 1.578
1.473 1.473 4.464
1.473 1.473 7.374
1.473 1.473 10.283
1.473 1.473 13.169

***

5.
Al2SiRu (PBE, optimized geometry); crystal system = trigonal; symmetry = R-3m, No. 166
1.0
2.921 0.000 0.000
-1.460 2.529 0.000
0.000 0.000 24.065
Al Si Ru
6 3 3
Cartesian
0.000 0.000 5.927
0.000 0.000 18.138
0.000 1.686 10.117
0.000 1.686 21.970
1.460 0.843 2.095
1.460 0.843 13.948
0.000 0.000 0.000
0.000 1.686 16.043
1.460 0.843 8.022
0.000 0.000 12.033
0.000 1.686 4.011
1.460 0.843 20.054

***

6.
Sm8Al53Si17Ru12 (PBE, optimized geometry); crystal system = triclinic; symmetry = P1, No. 1
1.0
11.483 0.000 0.000
-0.002 11.506 0.000
-0.027 -0.016 11.574
Sm Al Si Ru
8 53 17 12
Cartesian
0.000 0.000 0.000
-0.005 -0.003 4.119
-0.027 7.400 11.570
-0.002 7.409 4.116
4.071 0.000 0.007
4.071 7.426 0.012
4.077 11.497 4.124
4.071 7.411 4.127
-0.005 9.457 6.549
0.020 5.010 2.047
0.401 5.134 6.396
0.437 2.259 9.311
0.442 5.145 9.302
0.465 2.256 6.370
2.032 2.401 0.006
2.033 -0.008 6.551
2.021 0.008 9.165
2.011 5.006 11.557
2.029 7.377 6.538
2.024 7.395 9.154
2.040 9.456 2.058
2.043 2.411 4.099
2.040 5.029 4.165
3.584 2.252 6.376
3.595 2.266 9.318
3.614 5.148 9.318
3.651 5.144 6.416
4.061 5.012 2.071
4.063 9.455 9.159
4.097 2.389 2.070
4.104 9.455 6.538
6.311 5.157 0.498
6.331 2.247 0.470
6.329 2.251 3.656
6.325 5.154 3.631
6.323 7.905 9.322
6.321 11.006 9.316
6.335 11.055 6.398
6.357 7.843 6.381
6.459 0.007 2.058
6.454 7.404 2.057
6.463 9.457 0.016
6.451 9.447 4.135
7.704 1.906 6.034
9.074 7.434 2.048
9.058 9.434 11.551
9.070 9.455 4.108
9.074 11.483 2.062
9.215 2.239 3.640
9.223 5.175 0.506
9.195 7.840 9.315
9.227 2.244 0.498
9.219 11.033 6.378
9.207 11.056 9.306
9.231 7.893 6.373
9.241 5.164 3.593
9.466 5.451 7.882
9.515 3.720 5.945
9.526 1.991 7.892
11.442 9.449 9.160
11.467 2.396 2.053
2.010 9.449 10.822
2.037 0.720 2.062
2.030 3.707 7.848
2.037 6.696 2.062
2.035 9.456 4.881
4.780 9.457 2.066
5.960 1.995 7.901
5.966 3.771 6.067
6.003 3.621 9.745
6.103 5.555 7.786
7.655 5.419 9.721
7.741 5.525 5.972
7.742 1.927 9.782
7.773 3.700 2.057
7.775 9.453 7.846
9.442 3.692 9.773
10.764 9.456 2.054
4.252 3.685 11.381
4.293 3.722 4.338
4.307 0.241 7.870
4.318 7.176 7.854
7.728 7.180 11.366
7.751 0.162 4.292
7.756 0.162 11.381
7.774 7.212 4.288
11.238 3.704 11.361
11.246 7.195 7.859
11.262 0.209 7.860
11.308 3.709 4.271

***

7.
Sm2AlSi2Ru5 (PBE, optimized geometry); crystal system = tetragonal; symmetry = P4/mbm, No. 127
1.0
10.058 0.000 0.000
0.000 10.058 0.000
0.000 0.000 3.245
Sm Al Si Ru
4 2 4 10
Cartesian
1.745 3.284 0.000
3.284 8.313 0.000
6.774 1.745 0.000
8.313 6.774 0.000
0.000 0.000 0.000
5.029 5.029 0.000
1.282 6.311 0.000
3.747 1.282 0.000
6.311 8.776 0.000
8.776 3.747 0.000
0.000 5.029 1.622
0.666 7.969 1.622
2.089 0.666 1.622
2.940 5.695 1.622
4.364 2.940 1.622
5.029 0.000 1.622
5.695 7.118 1.622
7.118 4.364 1.622
7.969 9.393 1.622
9.393 2.089 1.622

***

8.
Sr2AlSiRu (PBE, optimized geometry); crystal system = tetragonal; symmetry = P4/mmm, No. 123
1.0
5.782 0.000 0.000
0.000 5.782 0.000
0.000 0.000 4.581
Sr Al Si Ru
2 1 1 1
Cartesian
0.000 2.891 0.000
2.891 0.000 0.000
0.000 0.000 2.290
2.891 2.891 2.290
2.891 2.891 0.000

***

9.
AlSiTcRu (PBE, optimized geometry); crystal system = cubic; symmetry = F-43m, No. 216
1.0
5.961 0.000 0.000
0.000 5.961 0.000
0.000 0.000 5.961
Al Si Tc Ru
4 4 4 4
Cartesian
0.000 0.000 0.000
0.000 2.980 2.980
2.980 0.000 2.980
2.980 2.980 0.000
0.000 0.000 2.980
0.000 2.980 0.000
2.980 0.000 0.000
2.980 2.980 2.980
1.490 1.490 1.490
1.490 4.470 4.470
4.470 1.490 4.470
4.470 4.470 1.490
1.490 1.490 4.470
1.490 4.470 1.490
4.470 1.490 1.490
4.470 4.470 4.470

***

10.
Th2Al2Si4Ru (PBE, optimized geometry); crystal system = tetragonal; symmetry = I4/mmm, No. 139
1.0
-3.107 3.107 4.287
3.107 -3.107 4.287
3.107 3.107 -4.287
Th Al Si Ru
2 2 4 1
Cartesian
3.107 0.000 2.143
0.000 3.107 2.143
0.000 0.000 1.769
0.000 0.000 6.804
1.369 1.369 0.000
1.738 -1.738 4.287
-1.738 1.738 4.287
1.738 1.738 4.287
0.000 0.000 4.287

***

11.
U2AlSi2Ru5 (PBE, optimized geometry); crystal system = tetragonal; symmetry = P4/mbm, No. 127
1.0
9.997 0.000 0.000
0.000 9.997 0.000
0.000 0.000 3.202
U Al Si Ru
4 2 4 10
Cartesian
1.736 3.263 0.000
3.263 8.262 0.000
6.734 1.736 0.000
8.262 6.734 0.000
0.000 0.000 0.000
4.999 4.999 0.000
1.270 6.269 0.000
3.729 1.270 0.000
6.269 8.727 0.000
8.727 3.729 0.000
0.000 4.999 1.601
0.644 7.921 1.601
2.076 0.644 1.601
2.922 5.642 1.601
4.355 2.922 1.601
4.999 0.000 1.601
5.642 7.075 1.601
7.075 4.355 1.601
7.921 9.354 1.601
9.354 2.076 1.601

***

12.
YAl2SiRu2 (PBE, optimized geometry); crystal system = tetragonal; symmetry = P4/mmm, No. 123
1.0
4.417 0.000 0.000
0.000 4.417 0.000
0.000 0.000 5.637
Y Al Si Ru
1 2 1 2
Cartesian
0.000 0.000 0.000
2.209 2.209 1.337
2.209 2.209 4.300
0.000 0.000 2.819
0.000 2.209 2.819
2.209 0.000 2.819

***

no.,uncorrected formation energy (eV/atom)
1,-0.358
2,-0.267
3,-0.276
4,-0.693
5,-0.117
6,-0.489
7,-0.589
8,0.189
9,-0.514
10,-0.533
11,-0.505
12,-0.451